# 1
Sc2InRe after structural relaxation, computed with PBE.

## Properties
Its theoretical density is 8.41 g cm⁻³. The value obtained for the final energy is -7.118 eV/atom. The formation energy comes out at -0.156 eV/atom. The total magnetic moment comes out at 0.00 μB per cell.

Unit cell a=4.616 b=3.622 c=4.615 alpha=90.00 beta=90.00 gamma=90.00
Atoms (fractional coordinates):
Sc (0.000, 0.125, 0.875)
Sc (0.500, 0.125, 0.375)
In (0.000, 0.625, 0.375)
Re (0.500, 0.625, 0.875)

# 2
Sc2InRe after structural relaxation, computed with PBE.

## Properties
Its theoretical density is 7.59 g cm⁻³. The value obtained for the final energy is -6.360 eV/atom. The formation energy comes out at 0.602 eV/atom. The total magnetic moment comes out at 2.44 μB per cell.

Unit cell a=4.174 b=4.174 c=10.256 alpha=78.26 beta=78.26 gamma=90.00
Site moments in Bohr magnetons follow the coordinates.
Atoms (fractional coordinates):
Sc (0.106, 0.625, 0.250)  0.13
Sc (0.644, 0.125, 0.250)  0.14
Sc (0.375, 0.356, 0.750)  0.13
Sc (0.875, 0.894, 0.750)  0.12
Re (0.750, 0.250, 0.500)  0.74
Re (0.000, 0.000, 0.000)  0.73
In (0.500, 0.500, 0.000)  0.00
In (0.250, 0.750, 0.500)  0.00

# 3
ScIn2Re after structural relaxation, computed with PBE.

## Properties
Its theoretical density is 9.43 g cm⁻³. The value obtained for the final energy is -5.762 eV/atom. The formation energy comes out at 0.302 eV/atom. As for the energy above the most stable polymorph in this dataset: 231 meV/atom. The total magnetic moment comes out at 0.00 μB per cell.

Unit cell a=9.745 b=9.745 c=9.745 alpha=18.47 beta=18.47 gamma=18.47
Atoms (fractional coordinates):
In (0.993, 0.993, 0.993)
In (0.507, 0.507, 0.507)
Sc (0.750, 0.750, 0.750)
Re (0.250, 0.250, 0.250)

# 4
ScInRe2 after structural relaxation, computed with PBE.

## Properties
Its theoretical density is 12.82 g cm⁻³. The value obtained for the final energy is -8.248 eV/atom. The formation energy comes out at 0.244 eV/atom. The total magnetic moment comes out at 0.00 μB per cell.

Unit cell a=4.354 b=3.980 c=3.980 alpha=90.00 beta=90.00 gamma=90.00
Atoms (fractional coordinates):
Re (0.000, 0.500, 0.500)
Re (0.000, 0.000, 0.000)
Sc (0.500, 0.500, 0.000)
In (0.500, 0.000, 0.500)

# 5
Sc2InRe after structural relaxation, computed with PBE.

## Properties
Its theoretical density is 8.49 g cm⁻³. The value obtained for the final energy is -6.932 eV/atom. The formation energy comes out at 0.030 eV/atom. The total magnetic moment comes out at 0.00 μB per cell.

Unit cell a=4.764 b=4.764 c=4.764 alpha=60.00 beta=60.00 gamma=60.00
Atoms (fractional coordinates):
Re (0.250, 0.250, 0.250)
Sc (0.750, 0.750, 0.750)
Sc (0.000, 0.000, 0.000)
In (0.500, 0.500, 0.500)

# 6
ScIn2Re after structural relaxation, computed with PBE.

## Properties
Its theoretical density is 9.58 g cm⁻³. The value obtained for the final energy is -5.949 eV/atom. The formation energy comes out at 0.115 eV/atom. As for the energy above the most stable polymorph in this dataset: 44 meV/atom. The total magnetic moment comes out at 0.00 μB per cell.

Unit cell a=3.599 b=3.599 c=6.167 alpha=90.00 beta=90.00 gamma=90.00
Atoms (fractional coordinates):
In (0.000, 0.000, 0.999)
In (0.500, 0.500, 0.267)
Re (0.000, 0.000, 0.514)
Sc (0.500, 0.500, 0.720)

# 7
ScInRe2 after structural relaxation, computed with PBE.

## Properties
Its theoretical density is 12.85 g cm⁻³. The value obtained for the final energy is -8.308 eV/atom. The formation energy comes out at 0.184 eV/atom. The total magnetic moment comes out at 0.00 μB per cell.

Unit cell a=4.599 b=4.599 c=4.599 alpha=60.00 beta=60.00 gamma=60.00
Atoms (fractional coordinates):
Re (0.750, 0.750, 0.750)
Re (0.000, 0.000, 0.000)
In (0.500, 0.500, 0.500)
Sc (0.250, 0.250, 0.250)

# 8
ScInRe2 after structural relaxation, computed with PBE.

## Properties
Its theoretical density is 12.53 g cm⁻³. The value obtained for the final energy is -8.019 eV/atom. The formation energy comes out at 0.472 eV/atom. The total magnetic moment comes out at 0.96 μB per cell.

Unit cell a=9.548 b=9.548 c=9.548 alpha=17.74 beta=17.74 gamma=17.74
Site moments in Bohr magnetons follow the coordinates.
Atoms (fractional coordinates):
Sc (0.250, 0.250, 0.250)  0.08
In (0.750, 0.750, 0.750)  0.01
Re (0.999, 0.999, 0.999)  0.37
Re (0.501, 0.501, 0.501)  0.37

# 9
Sc2InRe after structural relaxation, computed with PBE.

## Properties
Its theoretical density is 8.39 g cm⁻³. The value obtained for the final energy is -7.001 eV/atom. The formation energy comes out at -0.038 eV/atom. The total magnetic moment comes out at 0.00 μB per cell.

Unit cell a=5.241 b=5.241 c=5.241 alpha=132.24 beta=132.24 gamma=69.85
Atoms (fractional coordinates):
Sc (0.250, 0.750, 0.500)
Sc (0.000, 0.000, 0.000)
Re (0.750, 0.250, 0.500)
In (0.500, 0.500, 0.000)

# 10
Sc2InRe2 after structural relaxation, computed with PBE.

## Properties
Its theoretical density is 9.07 g cm⁻³. The value obtained for the final energy is -7.353 eV/atom. The formation energy comes out at 0.706 eV/atom. The total magnetic moment comes out at 0.00 μB per cell.

Unit cell a=4.220 b=4.220 c=6.641 alpha=71.47 beta=71.47 gamma=90.00
Atoms (fractional coordinates):
Sc (0.750, 0.250, 0.500)
Sc (0.250, 0.750, 0.500)
Re (0.598, 0.598, 0.804)
Re (0.402, 0.402, 0.196)
In (0.000, 0.000, 0.000)

# 11
ScIn2Re after structural relaxation, computed with PBE.

## Properties
Its theoretical density is 9.89 g cm⁻³. The value obtained for the final energy is -5.930 eV/atom. The formation energy comes out at 0.134 eV/atom. As for the energy above the most stable polymorph in this dataset: 63 meV/atom. The total magnetic moment comes out at 0.00 μB per cell.

Unit cell a=3.855 b=4.421 c=4.539 alpha=90.00 beta=90.00 gamma=90.00
Atoms (fractional coordinates):
Re (0.500, 0.000, 0.500)
Sc (0.000, 0.500, 0.500)
In (0.500, 0.500, 0.000)
In (0.000, 0.000, 0.000)

# 12
ScInRe3 after structural relaxation, computed with PBE.

## Properties
Its theoretical density is 11.82 g cm⁻³. The value obtained for the final energy is -7.030 eV/atom. The formation energy comes out at 2.253 eV/atom. As for the energy above the most stable polymorph in this dataset: 0 meV/atom. The total magnetic moment comes out at 2.15 μB per cell.

Unit cell a=4.656 b=4.656 c=4.656 alpha=90.00 beta=90.00 gamma=90.00
Site moments in Bohr magnetons follow the coordinates.
Atoms (fractional coordinates):
Re (0.500, 0.000, 0.000)  0.79
Re (0.000, 0.500, 0.000)  0.69
Re (0.000, 0.000, 0.500)  0.51
Sc (0.000, 0.000, 0.000)  -0.03
In (0.500, 0.500, 0.500)  -0.05